DFT (PBE) results for a relaxed structure of KCBr3.

## Properties
Total energy ... -2.8376 eV per atom
E above lowest polymorph ... 0 meV per atom
E_form (uncorrected) ... 0.23 eV/atom

Unit cell a=4.984 b=4.984 c=4.984 alpha=90.00 beta=90.00 gamma=90.00
Space group Pm-3m (No. 221)
Asymmetric unit:
K 0.000 0.000 0.000 x1
C 0.500 0.500 0.500 x1
Br 0.000 0.500 0.500 x3

DFT (PBE) results for a relaxed structure of Mg3ZnCl.

## Properties
Total energy ... -1.7033 eV per atom
E above lowest polymorph ... 0 meV per atom
E_form (uncorrected) ... -0.12 eV/atom

Unit cell a=5.105 b=5.105 c=5.105 alpha=90.00 beta=90.00 gamma=90.00
Space group Pm-3m (No. 221)
Asymmetric unit:
Mg 0.000 0.000 0.500 x3
Zn 0.000 0.000 0.000 x1
Cl 0.500 0.500 0.500 x1